Record 1
BPOsO2 (PBE, relaxed); formation energy without anion corrections = 0.14 eV/atom; DOS(E_F) = 0.69 states/eV/atom; energy above the lowest structure with this stoichiometry = 0 meV per atom
1.0
3.152 0.000 0.000
0.000 3.152 0.000
0.000 0.000 8.322
B P Os O
1 1 1 2
Direct
0.000 0.000 0.000
0.000 0.000 0.500
0.500 0.500 0.500
0.000 0.500 0.000
0.500 0.000 0.000

=====

Record 2
BOsPbO6 (PBE, relaxed); formation energy without anion corrections = -1.33 eV/atom; DOS(E_F) = 0.14 states/eV/atom
1.0
2.316 -4.615 0.000
2.316 4.615 0.000
-0.346 0.000 5.370
B Os Pb O
1 1 1 6
Direct
0.000 0.000 0.000
0.721 0.279 0.000
0.457 0.543 0.500
0.057 0.275 0.852
0.299 0.136 0.150
0.473 0.102 0.716
0.725 0.943 0.148
0.864 0.701 0.850
0.898 0.527 0.284

=====

Record 3
BOsPdO2 (PBE, relaxed); formation energy without anion corrections = 0.19 eV/atom; DOS(E_F) = 0.73 states/eV/atom
1.0
3.717 0.000 0.000
0.000 3.717 0.000
0.000 0.000 4.608
B Os Pd O
1 1 1 2
Direct
0.000 0.000 0.000
0.000 0.000 0.500
0.500 0.500 0.000
0.000 0.500 0.500
0.500 0.000 0.500

=====

Record 4
SiB2OsO (PBE, relaxed); formation energy without anion corrections = 0.88 eV/atom; DOS(E_F) = 0.39 states/eV/atom
1.0
4.015 0.000 0.000
0.000 4.015 0.000
0.000 0.000 4.702
Si B Os O
1 2 1 1
Direct
0.000 0.000 0.000
0.000 0.500 0.500
0.500 0.000 0.500
0.000 0.000 0.500
0.500 0.500 0.000

=====

Record 5
Tc2BOsO (PBE, relaxed); formation energy without anion corrections = 1.68 eV/atom; DOS(E_F) = 1.03 states/eV/atom
1.0
4.798 0.000 0.000
0.000 4.798 0.000
0.000 0.000 3.622
Tc B Os O
2 1 1 1
Direct
0.000 0.500 0.000
0.500 0.000 0.000
0.000 0.000 0.500
0.500 0.500 0.000
0.500 0.500 0.500

=====

Record 6
TlB2OsO6 (PBE, relaxed); formation energy without anion corrections = -1.60 eV/atom; DOS(E_F) = 0.04 states/eV/atom
1.0
2.478 1.431 6.398
-2.478 1.431 6.398
0.000 -2.861 6.398
Tl B Os O
1 2 1 6
Direct
0.000 0.000 0.000
0.223 0.223 0.223
0.777 0.777 0.777
0.500 0.500 0.500
0.079 0.532 0.711
0.289 0.921 0.468
0.468 0.289 0.921
0.532 0.711 0.079
0.711 0.079 0.532
0.921 0.468 0.289

=====

Record 7
Tl2BOsO6 (PBE, relaxed); formation energy without anion corrections = -1.01 eV/atom; DOS(E_F) = 0.38 states/eV/atom
1.0
3.283 -4.766 0.000
3.283 4.766 0.000
-3.272 0.000 4.728
Tl B Os O
2 1 1 6
Direct
0.248 0.752 0.000
0.752 0.248 0.000
0.500 0.500 0.500
0.000 0.000 0.500
0.194 0.194 0.894
0.196 0.804 0.500
0.310 0.310 0.504
0.690 0.690 0.496
0.804 0.196 0.500
0.806 0.806 0.106

=====

Record 8
TlBOsO6 (PBE, relaxed); formation energy without anion corrections = -1.22 eV/atom
1.0
4.678 0.000 0.000
2.172 4.397 0.000
0.602 0.324 6.084
Tl B Os O
1 1 1 6
Direct
0.000 0.000 0.000
0.311 0.252 0.374
0.723 0.592 0.499
0.044 0.469 0.241
0.122 0.271 0.591
0.437 0.925 0.314
0.516 0.528 0.739
0.565 0.344 0.354
0.807 0.868 0.603